A relaxed TlRh2Br crystal. Source: the Alexandria database, functional GGA-PBEsol.

E_tot	-58.17	eV per cell
ΔE_f (raw)	0.346	eV per atom

Cell: 3.1749 3.1749 23.9105 Å, 90.00 90.00 120.00°
Space group R-3m (No. 166, hexagonal axes)
Symmetry-distinct sites (fractional):
Tl (0.0000, 0.0000, 0.0000) x3
Rh (0.0000, 0.0000, 0.2470) x6
Br (0.0000, 0.0000, 0.5000) x3

A relaxed Sr2CuRh crystal. Source: the Alexandria database, functional GGA-PBEsol.

formation energy from the elements	0.24	eV/atom
E_tot	-15.20	eV per cell

Cell: 3.5777 4.8819 5.9066 Å, 90.00 90.00 90.00°
Space group Pmmm (No. 47)
Symmetry-distinct sites (fractional):
Sr (0.0000, 0.0000, 0.0000) x1
Sr (0.5000, 0.5000, 0.5000) x1
Cu (0.0000, 0.0000, 0.5000) x1
Rh (0.5000, 0.5000, 0.0000) x1

A relaxed Ta2FeW crystal. Source: the Alexandria database, functional GGA-PBEsol.

formation energy from the elements	-0.09	eV/atom
E_tot	-48.22	eV per cell

Cell: 4.4091 4.4091 3.1420 Å, 90.00 90.00 90.00°
Space group P4/mmm (No. 123)
Symmetry-distinct sites (fractional):
Ta (0.0000, 0.5000, 0.0000) x2
Fe (0.0000, 0.0000, 0.5000) x1
W (0.5000, 0.5000, 0.5000) x1

A relaxed Zr2Al5Si crystal. Source: the Alexandria database, functional GGA-PBEsol.

E_tot	-95.72	eV per cell
ΔE_f (raw)	-0.434	eV per atom

Cell: 5.7895 11.5598 3.9741 Å, 90.00 90.00 90.00°
Space group Pbam (No. 55)
Symmetry-distinct sites (fractional):
Zr (0.2256, 0.1191, 0.0000) x4
Al (0.0000, 0.5000, 0.5000) x2
Al (0.0198, 0.7496, 0.5000) x4
Al (0.2298, 0.3712, 0.0000) x4
Si (0.0000, 0.0000, 0.5000) x2

A relaxed AgSeO2F crystal. Source: the Alexandria database, functional GGA-PBEsol.

E_tot	-21.76	eV per cell
ΔE_f (raw)	-0.436	eV per atom

Cell: 3.8684 3.8684 4.2488 Å, 90.00 90.00 90.00°
Space group P4/mmm (No. 123)
Symmetry-distinct sites (fractional):
Ag (0.0000, 0.0000, 0.0000) x1
Se (0.5000, 0.5000, 0.5000) x1
O (0.0000, 0.5000, 0.5000) x2
F (0.5000, 0.5000, 0.0000) x1

A relaxed LiVF6 crystal. Source: the Alexandria database, functional GGA-PBEsol.

E_tot	-91.91	eV per cell
ΔE_f (raw)	-2.848	eV per atom

Cell: 9.0578 5.3546 5.2292 Å, 90.00 125.18 90.00°
Space group C2/m (No. 12)
Symmetry-distinct sites (fractional):
Li (0.0000, 0.0000, 0.0000) x2
V (0.0000, 0.5000, 0.5000) x2
F (0.0391, 0.2642, 0.7742) x8
F (0.2344, 0.5000, 0.6559) x4

A relaxed TaAgO3 crystal. Source: the Alexandria database, functional GGA-PBEsol.

E_tot	-41.36	eV per cell
ΔE_f (raw)	-1.951	eV per atom

Cell: 3.9547 3.9547 3.9547 Å, 90.00 90.00 90.00°
Space group Pm-3m (No. 221)
Symmetry-distinct sites (fractional):
Ta (0.0000, 0.0000, 0.0000) x1
Ag (0.5000, 0.5000, 0.5000) x1
O (0.0000, 0.0000, 0.5000) x3

A relaxed AlTlIn2 crystal. Source: the Alexandria database, functional GGA-PBEsol.

E above lowest polymorph	0.000	eV per atom
formation energy from the elements	0.10	eV/atom
E_tot	-36.89	eV per cell

Cell: 3.2611 3.2611 31.3366 Å, 90.00 90.00 120.00°
Space group R-3m (No. 166, hexagonal axes)
Symmetry-distinct sites (fractional):
Al (0.0000, 0.0000, 0.0000) x3
Tl (0.0000, 0.0000, 0.5000) x3
In (0.0000, 0.0000, 0.2576) x6

Among the records above, which one has the highest E_tot? Sr2CuRh

What is the E_tot in the fifth record? -21.76 eV per cell

Among the records above, which one has the lowest E_tot? Zr2Al5Si